(1)
## ZrCrTc2 (PBEsol)

Data for a geometry-optimized ZrCrTc2 structure.

Unit cell a=3.098 b=4.507 c=8.480 alpha=90.00 beta=90.00 gamma=90.00
Space group Cmmm (No. 65)
Unique sites:
Zr: 0.000 0.000 0.000 (multiplicity 2)
Cr: 0.000 0.000 0.500 (multiplicity 2)
Tc: 0.000 0.500 0.275 (multiplicity 4)

Computed properties:
- density (g cm⁻³) = 9.51
- E_form (eV/atom) = 0.104


(2)
## Y2AsRh (PBEsol)

Data for a geometry-optimized Y2AsRh structure.

Unit cell a=4.197 b=3.818 c=10.560 alpha=90.00 beta=90.00 gamma=90.00
Space group Amm2 (No. 38)
Unique sites:
Y: 0.000 0.000 0.000 (multiplicity 2)
Y: 0.500 0.000 0.279 (multiplicity 2)
As: 0.500 0.000 0.561 (multiplicity 2)
Rh: 0.000 0.000 0.726 (multiplicity 2)

Computed properties:
- density (g cm⁻³) = 6.98
- E_form (eV/atom) = -1.128


(3)
## KCdOs (PBEsol)

Data for a geometry-optimized KCdOs structure.

Unit cell a=3.474 b=3.474 c=12.074 alpha=90.00 beta=90.00 gamma=90.00
Space group I4mm (No. 107)
Unique sites:
K: 0.000 0.000 0.000 (multiplicity 2)
Cd: 0.000 0.000 0.282 (multiplicity 2)
Os: 0.000 0.000 0.704 (multiplicity 2)

Computed properties:
- density (g cm⁻³) = 7.79
- E_form (eV/atom) = 1.164


(4)
## Ba2HfO4 (PBEsol)

Data for a geometry-optimized Ba2HfO4 structure.

Unit cell a=4.144 b=4.144 c=13.433 alpha=90.00 beta=90.00 gamma=90.00
Space group I4/mmm (No. 139)
Unique sites:
Ba: 0.000 0.000 0.147 (multiplicity 4)
Hf: 0.000 0.000 0.500 (multiplicity 2)
O: 0.000 0.000 0.344 (multiplicity 4)
O: 0.000 0.500 0.000 (multiplicity 4)

Computed properties:
- density (g cm⁻³) = 7.45
- E_form (uncorrected) (kJ/mol of atoms) = -307.3


(5)
## CdGaSn3 (PBEsol)

Data for a geometry-optimized CdGaSn3 structure.

Unit cell a=5.250 b=5.250 c=5.250 alpha=90.00 beta=90.00 gamma=90.00
Space group Pm-3m (No. 221)
Unique sites:
Cd: 0.000 0.000 0.000 (multiplicity 1)
Ga: 0.500 0.500 0.500 (multiplicity 1)
Sn: 0.000 0.500 0.500 (multiplicity 3)

Computed properties:
- density (g cm⁻³) = 6.18
- E_form (eV/atom) = 0.439


(6)
## HPd2Pb (PBEsol)

Data for a geometry-optimized HPd2Pb structure.

Unit cell a=6.102 b=6.102 c=6.248 alpha=90.00 beta=90.00 gamma=90.00
Space group I-42d (No. 122)
Unique sites:
H: 0.000 0.000 0.000 (multiplicity 4)
Pd: 0.110 0.750 0.125 (multiplicity 8)
Pb: 0.000 0.000 0.500 (multiplicity 4)

Computed properties:
- relative energy among the computed polymorphs (eV/atom) = 0.0000
- density (g cm⁻³) = 12.02


(7)
## YCo13 (PBEsol)

Data for a geometry-optimized YCo13 structure.

Unit cell a=10.995 b=10.995 c=10.995 alpha=90.00 beta=90.00 gamma=90.00
Space group Fm-3c (No. 226)
Unique sites:
Y: 0.250 0.250 0.250 (multiplicity 8)
Co: 0.000 0.000 0.000 (multiplicity 8)
Co: 0.000 0.119 0.178 (multiplicity 96)

Computed properties:
- density (g cm⁻³) = 8.55
- E_form (eV/atom) = -0.031


(8)
## Zn2SbTe2 (PBEsol)

Data for a geometry-optimized Zn2SbTe2 structure.

Unit cell a=3.911 b=3.911 c=15.575 alpha=90.00 beta=90.00 gamma=90.00
Space group I4/mmm (No. 139)
Unique sites:
Zn: 0.000 0.500 0.250 (multiplicity 4)
Sb: 0.000 0.000 0.000 (multiplicity 2)
Te: 0.000 0.000 0.374 (multiplicity 4)

Computed properties:
- density (g cm⁻³) = 7.08
- E_form (uncorrected) (kJ/mol of atoms) = 8.1